(P)
Computed, not measured: LiDy2Bi after structural relaxation at the PBE level of DFT.

Lattice parameters (Å, degrees): 4.9237 4.9237 4.3803 90.00 90.00 90.00
With the nearest neighbours (Å) after each atom.
Space group P4/mmm (No. 123)
Asymmetric unit:
1 Li 0.0000 0.0000 0.0000 x1  8 Dy 3.30, 4 Bi 3.48
2 Dy 0.0000 0.5000 0.5000 x2  4 Li 3.30, 4 Bi 3.30, 4 Dy 3.48
3 Bi 0.5000 0.5000 0.0000 x1  8 Dy 3.30, 4 Li 3.48

Summary:
total magnetic moment: 0.00 μB/f.u.

***

(Q)
Computed, not measured: LiDy2Bi after structural relaxation at the PBE level of DFT.

Lattice parameters (Å, degrees): 7.5013 7.5013 7.5013 90.00 90.00 90.00
With the nearest neighbours (Å) after each atom.
Space group Fm-3m (No. 225)
Asymmetric unit:
1 Li 0.0000 0.0000 0.0000 x4  8 Dy 3.25
2 Dy 0.2500 0.2500 0.2500 x8  4 Li 3.25, 4 Bi 3.25
3 Bi 0.0000 0.0000 0.5000 x4  8 Dy 3.25

Summary:
total magnetic moment: 0.00 μB/f.u.

***

(R)
Computed, not measured: LiDy2Bi after structural relaxation at the PBE level of DFT.

Lattice parameters (Å, degrees): 3.4717 3.4717 34.6924 90.00 90.00 120.00
With the nearest neighbours (Å) after each atom.
Space group R-3m (No. 166, hexagonal axes)
Asymmetric unit:
1 Li 0.0000 0.0000 0.0000 x3  6 Dy 3.32, 6 Li 3.47
2 Dy 0.0000 0.0000 0.4096 x6  1 Bi 3.14, 3 Li 3.32, 6 Dy 3.47
3 Bi 0.0000 0.0000 0.5000 x3  2 Dy 3.14, 6 Bi 3.47

Summary:
total magnetic moment: 0.00 μB/f.u.

***

Stability ranking, top and bottom: (P) is the most stable and (R) is the least stable.